Below is an optimized crystal structure of LiTaTcO6, with properties calculated at the PBE level.

Its total magnetization is 1.5 μB per cell. Its calculated total energy is -143.54 eV per cell. The uncorrected formation energy is -1.988 eV per atom. The value obtained for the volume is 208.1 Å³/cell.

The structure belongs to space group P4_2nm (No. 102); the cell edges are 4.8060, 4.8060 and 9.0092 Å and the angles 90.00°, 90.00° and 90.00°. The distinct sites, in fractional coordinates, are Li at (0.0000, 0.0000, 0.0000), Ta at (0.0000, 0.0000, 0.6703), Tc at (0.0000, 0.0000, 0.3278), O at (0.1828, 0.1828, 0.4930), O at (0.2059, 0.2059, 0.1865) and O at (0.2137, 0.2137, 0.8163).

=====

Below is an optimized crystal structure of Cd2AuBr, with properties calculated at the PBE level.

Its total magnetization is 0.0 μB per cell. Its calculated total energy is -7.03 eV per cell. The uncorrected formation energy is -0.064 eV per atom. The value obtained for the volume is 100.7 Å³/cell. The value obtained for the relative energy among the computed polymorphs is 0.189 eV/atom.

The structure belongs to space group Pmmm (No. 47); the cell edges are 3.6978, 4.3840 and 6.2109 Å and the angles 90.00°, 90.00° and 90.00°. The distinct sites, in fractional coordinates, are Cd at (0.0000, 0.0000, 0.0000), Cd at (0.0000, 0.5000, 0.5000), Au at (0.5000, 0.0000, 0.5000) and Br at (0.5000, 0.5000, 0.0000).

=====

Below is an optimized crystal structure of LiSm4Tl, with properties calculated at the PBE level.

Its total magnetization is 0.0 μB per cell. Its calculated total energy is -92.98 eV per cell. The value obtained for the volume is 710.7 Å³/cell. The energy relative to the elements is -15 meV/atom.

The structure belongs to space group C2/c (No. 15); the cell edges are 8.8010, 14.6326 and 5.8787 Å and the angles 90.00°, 110.15° and 90.00°. The distinct sites, in fractional coordinates, are Li at (0.0000, 0.0015, 0.2500), Sm at (0.0991, 0.1984, 0.5566), Sm at (0.1959, 0.4066, 0.8605) and Tl at (0.0000, 0.3907, 0.2500).

=====

Below is an optimized crystal structure of NpTlGa, with properties calculated at the PBE level.

Its total magnetization is 0.0 μB per cell. Its calculated total energy is -73.05 eV per cell. The value obtained for the volume is 260.8 Å³/cell. The energy relative to the elements is 24 meV/atom.

The structure belongs to space group Cmcm (No. 63); the cell edges are 5.0741, 13.8478 and 3.7114 Å and the angles 90.00°, 90.00° and 90.00°. The distinct sites, in fractional coordinates, are Np at (0.0000, 0.0544, 0.2500), Tl at (0.0000, 0.2616, 0.7500) and Ga at (0.0000, 0.4311, 0.2500).

=====

Below is an optimized crystal structure of NbInFe2Si, with properties calculated at the PBE level.

Its total magnetization is 4.7 μB per cell. Its calculated total energy is -33.03 eV per cell. The uncorrected formation energy is 0.425 eV per atom. The value obtained for the volume is 88.1 Å³/cell.

The structure belongs to space group P4/mmm (No. 123); the cell edges are 4.3026, 4.3026 and 4.7612 Å and the angles 90.00°, 90.00° and 90.00°. The distinct sites, in fractional coordinates, are Nb at (0.0000, 0.0000, 0.0000), In at (0.5000, 0.5000, 0.0000), Fe at (0.0000, 0.5000, 0.5000) and Si at (0.0000, 0.0000, 0.5000).

=====

Below is an optimized crystal structure of YCoAg2, with properties calculated at the PBE level.

Its total magnetization is 1.1 μB per cell. Its calculated total energy is -36.76 eV per cell. The value obtained for the volume is 153.0 Å³/cell. The energy relative to the elements is 223 meV/atom.

The structure belongs to space group C2/m (No. 12); the cell edges are 5.4526, 10.3005 and 3.2920 Å and the angles 90.00°, 124.18° and 90.00°. The distinct sites, in fractional coordinates, are Y at (0.0000, 0.0000, 0.0000), Co at (0.0000, 0.5000, 0.0000) and Ag at (0.2500, 0.2500, 0.5000).

=====

Below is an optimized crystal structure of Nd2Dy2Cd15, with properties calculated at the PBE level.

Its total magnetization is 0.0 μB per cell. Its calculated total energy is -105.32 eV per cell. The value obtained for the volume is 1403.1 Å³/cell. The energy relative to the elements is -139 meV/atom.

The structure belongs to space group R-3m (No. 166, hexagonal axes); the cell edges are 10.0905, 10.0905 and 15.9122 Å and the angles 90.00°, 90.00° and 120.00°. The distinct sites, in fractional coordinates, are Nd at (0.0000, 0.0000, 0.1722), Dy at (0.0000, 0.0000, 0.4025), Cd at (0.0000, 0.2937, 0.5000), Cd at (0.0000, 0.5000, 0.0000) and Cd at (0.0142, 0.5071, 0.6370).

=====

Below is an optimized crystal structure of Ho8Sb2Te3, with properties calculated at the PBE level.

Its total magnetization is 0.0 μB per cell. Its calculated total energy is -126.88 eV per cell. The uncorrected formation energy is -0.704 eV per atom. The value obtained for the volume is 825.1 Å³/cell.

The structure belongs to space group C2/m (No. 12); the cell edges are 14.0455, 8.3694 and 7.0199 Å and the angles 90.00°, 91.05° and 90.00°. The distinct sites, in fractional coordinates, are Ho at (0.1193, 0.0000, 0.3859), Ho at (0.1217, 0.2156, 0.8488), Ho at (0.1590, 0.5000, 0.3328), Sb at (0.2476, 0.5000, 0.9312), Te at (0.0000, 0.2827, 0.5000) and Te at (0.0000, 0.5000, 0.0000).

=====

Below is an optimized crystal structure of Li5Tl4Ge, with properties calculated at the PBE level.

Its total magnetization is 0.0 μB per cell. Its calculated total energy is -25.78 eV per cell. The value obtained for the volume is 201.6 Å³/cell. The energy relative to the elements is -213 meV/atom.

The structure belongs to space group P4/mmm (No. 123); the cell edges are 3.4416, 3.4416 and 17.0190 Å and the angles 90.00°, 90.00° and 90.00°. The distinct sites, in fractional coordinates, are Li at (0.0000, 0.0000, 0.0000), Li at (0.0000, 0.0000, 0.2099), Li at (0.0000, 0.0000, 0.4186), Tl at (0.5000, 0.5000, 0.1039), Tl at (0.5000, 0.5000, 0.3140) and Ge at (0.5000, 0.5000, 0.5000).

=====

Below is an optimized crystal structure of Ac3Zn2Hg4, with properties calculated at the PBE level.

Its total magnetization is 0.0 μB per cell. Its calculated total energy is -39.70 eV per cell. The value obtained for the volume is 506.7 Å³/cell. The energy relative to the elements is -419 meV/atom.

The structure belongs to space group C2/m (No. 12); the cell edges are 11.6570, 5.0039 and 9.4440 Å and the angles 90.00°, 113.09° and 90.00°. The distinct sites, in fractional coordinates, are Ac at (0.0000, 0.0000, 0.0000), Ac at (0.1623, 0.5000, 0.6665), Zn at (0.1155, 0.5000, 0.2856), Hg at (0.0659, 0.0000, 0.3883) and Hg at (0.2149, 0.5000, 0.0613).

=====

Below is an optimized crystal structure of NbOsSe2, with properties calculated at the PBE level.

Its total magnetization is 0.0 μB per cell. Its calculated total energy is -83.82 eV per cell. The uncorrected formation energy is 0.082 eV per atom. The value obtained for the volume is 218.7 Å³/cell. The value obtained for the relative energy among the computed polymorphs is 0.000 eV/atom.

The structure belongs to space group R-3m (No. 166, hexagonal axes); the cell edges are 3.1534, 3.1534 and 25.3983 Å and the angles 90.00°, 90.00° and 120.00°. The distinct sites, in fractional coordinates, are Nb at (0.0000, 0.0000, 0.0000), Os at (0.0000, 0.0000, 0.5000) and Se at (0.0000, 0.0000, 0.4065).

=====

Below is an optimized crystal structure of ZrTaB2, with properties calculated at the PBE level.

Its total magnetization is 0.0 μB per cell. Its calculated total energy is -107.81 eV per cell. The value obtained for the volume is 160.4 Å³/cell. The value obtained for the relative energy among the computed polymorphs is 0.182 eV/atom. The energy relative to the elements is -545 meV/atom.

The structure belongs to space group R-3m (No. 166, hexagonal axes); the cell edges are 3.3465, 3.3465 and 16.5380 Å and the angles 90.00°, 90.00° and 120.00°. The distinct sites, in fractional coordinates, are Zr at (0.0000, 0.0000, 0.0000), Ta at (0.0000, 0.0000, 0.5000) and B at (0.0000, 0.0000, 0.2444).